ErPdPt6 | PBE-GGA | optimized geometry

Cell: 5.7043 5.7043 4.0357 Å, 90.00 90.00 90.00°
Closest atoms and distances in Å follow each position.
Element x y z (fractional)
Er  0.0000  0.0000  0.0000  12 Pt 2.85-2.89
Pd  0.5000  0.5000  0.0000  12 Pt 2.82-2.85
Pt  0.0000  0.5000  0.0000  2 Pd 2.85, 2 Er 2.85, 8 Pt 2.85
Pt  0.2561  0.2561  0.5000  8 Pt 2.78-2.92, 2 Pd 2.82, 2 Er 2.89
Pt  0.2561  0.7439  0.5000  8 Pt 2.78-2.92, 2 Pd 2.82, 2 Er 2.89
Pt  0.5000  0.0000  0.0000  2 Pd 2.85, 2 Er 2.85, 8 Pt 2.85
Pt  0.7439  0.2561  0.5000  8 Pt 2.78-2.92, 2 Pd 2.82, 2 Er 2.89
Pt  0.7439  0.7439  0.5000  8 Pt 2.78-2.92, 2 Pd 2.82, 2 Er 2.89

Calculated values
As for the calculated volume: 16.41 Å³/atom. The electronic total energy comes out at -0.4606 Ry per atom. As for the space group: P4/mmm. As for the formation enthalpy at 0 K: -0.5171 eV/atom. The value obtained for the density of states at the Fermi level is 13.1 states/eV per cell. The total magnetization comes out at 0.000 μB per formula unit.